a | A relaxed structure of Ga2RhAu2, computed with PBE.

Unit cell a=6.823 b=6.823 c=3.604 alpha=90.00 beta=90.00 gamma=90.00
Element x y z (fractional)
Ga 0.651 0.151 0.000
Ga 0.151 0.349 0.000
Ga 0.849 0.651 0.000
Rh 0.000 0.000 0.000
Au 0.848 0.348 0.500
Ga 0.349 0.849 0.000
Au 0.348 0.152 0.500
Rh 0.500 0.500 0.000
Au 0.152 0.652 0.500
Au 0.652 0.848 0.500

=====

b | A relaxed structure of Ga2RhAu2, computed with PBE.

Unit cell a=7.400 b=7.400 c=3.080 alpha=90.00 beta=90.00 gamma=90.00
Element x y z (fractional)
Ga 0.830 0.330 0.500
Rh 0.000 0.000 0.000
Ga 0.670 0.830 0.500
Ga 0.330 0.170 0.500
Au 0.135 0.365 0.000
Au 0.635 0.135 0.000
Au 0.365 0.865 0.000
Au 0.865 0.635 0.000
Ga 0.170 0.670 0.500
Rh 0.500 0.500 0.000

=====

Going by the energies, a is most stable and the next is 12.7 kJ/mol of atoms up.

=====

a | A relaxed structure of Ga3RhAu, computed with PBE.

Unit cell a=4.770 b=4.770 c=4.770 alpha=90.00 beta=90.00 gamma=90.00
Element x y z (fractional)
Au 0.500 0.500 0.500
Rh 0.000 0.000 0.000
Ga 0.000 0.500 0.000
Ga 0.000 0.000 0.500
Ga 0.500 0.000 0.000

=====

b | A relaxed structure of Ga3RhAu, computed with PBE.

Unit cell a=4.978 b=4.982 c=8.138 alpha=101.21 beta=100.72 gamma=112.34
Element x y z (fractional)
Rh 0.769 0.772 0.040
Ga 0.628 0.641 0.303
Au 0.217 0.767 0.485
Ga 0.372 0.359 0.697
Ga 0.248 0.748 0.998
Ga 0.836 0.827 0.695
Ga 0.752 0.252 0.002
Ga 0.164 0.173 0.305
Rh 0.231 0.228 0.960
Au 0.783 0.233 0.515

=====

c | A relaxed structure of Ga3RhAu, computed with PBE.

Unit cell a=6.723 b=6.475 c=8.993 alpha=90.00 beta=62.20 gamma=90.00
Element x y z (fractional)
Rh 0.477 0.246 0.326
Rh 0.023 0.746 0.174
Au 0.537 0.718 0.010
Ga 0.725 0.492 0.415
Ga 0.283 0.019 0.602
Ga 0.727 0.001 0.774
Au 0.963 0.218 0.490
Au 0.463 0.282 0.990
Ga 0.275 0.508 0.585
Ga 0.225 0.008 0.915
Ga 0.773 0.501 0.726
Ga 0.775 0.992 0.085
Ga 0.273 0.999 0.226
Ga 0.227 0.499 0.274
Ga 0.783 0.481 0.102
Ga 0.217 0.519 0.898
Rh 0.523 0.754 0.674
Au 0.037 0.782 0.510
Rh 0.977 0.254 0.826
Ga 0.717 0.981 0.398

=====

Going by the energies, c is most stable and the next is 1.6 kJ/mol of atoms up.

=====

a | A relaxed structure of GaRu3Au, computed with PBE.

Unit cell a=4.879 b=4.879 c=4.879 alpha=90.00 beta=90.00 gamma=90.00
Last column: magnetic moment on the atom in μB.
Element x y z (fractional)
Au 0.000 0.000 0.000  0.24
Ru 0.000 0.000 0.500  2.42
Ru 0.500 0.000 0.000  1.06
Ga 0.500 0.500 0.500  -0.07
Ru 0.000 0.500 0.000  1.57

=====

b | A relaxed structure of GaRu3Au, computed with PBE.

Unit cell a=4.541 b=4.541 c=4.541 alpha=90.00 beta=90.00 gamma=90.00
Last column: magnetic moment on the atom in μB.
Element x y z (fractional)
Ru 0.000 0.500 0.000  1.28
Ru 0.000 0.000 0.500  1.39
Ru 0.500 0.000 0.000  1.10
Au 0.500 0.500 0.500  0.10
Ga 0.000 0.000 0.000  -0.04

=====

Going by the energies, b is most stable and the next is 68.7 kJ/mol of atoms up.

=====

a | A relaxed structure of Ga2Au2S, computed with PBE.

Unit cell a=7.171 b=7.171 c=3.769 alpha=90.00 beta=90.00 gamma=90.00
Element x y z (fractional)
Au 0.633 0.867 0.500
Ga 0.320 0.820 0.000
Au 0.867 0.367 0.500
S 0.500 0.500 0.000
Ga 0.820 0.680 0.000
S 0.000 0.000 0.000
Au 0.367 0.133 0.500
Au 0.133 0.633 0.500
Ga 0.180 0.320 0.000
Ga 0.680 0.180 0.000

=====

b | A relaxed structure of Ga2Au2S, computed with PBE.

Unit cell a=7.161 b=7.161 c=3.746 alpha=90.00 beta=90.00 gamma=90.00
Element x y z (fractional)
Au 0.860 0.640 0.000
S 0.000 0.000 0.000
Ga 0.165 0.665 0.500
Au 0.140 0.360 0.000
Ga 0.665 0.835 0.500
Ga 0.835 0.335 0.500
S 0.500 0.500 0.000
Au 0.360 0.860 0.000
Ga 0.335 0.165 0.500
Au 0.640 0.140 0.000

=====

Going by the energies, b is most stable and the next is 4.8 kJ/mol of atoms up.

=====

a | A relaxed structure of GaSbAu2, computed with PBE.

Unit cell a=4.379 b=4.379 c=6.135 alpha=77.33 beta=77.33 gamma=47.25
Element x y z (fractional)
Sb 0.500 0.500 0.500
Ga 0.000 0.000 0.000
Au 0.258 0.258 0.213
Au 0.742 0.742 0.787

=====

b | A relaxed structure of GaSbAu2, computed with PBE.

Unit cell a=3.958 b=4.558 c=4.558 alpha=90.00 beta=90.00 gamma=90.00
Element x y z (fractional)
Ga 0.500 0.500 0.500
Au 0.000 0.500 0.000
Sb 0.500 0.000 0.000
Au 0.000 0.000 0.500

=====

c | A relaxed structure of GaSbAu2, computed with PBE.

Unit cell a=5.640 b=7.180 c=17.438 alpha=90.00 beta=90.00 gamma=90.00
Element x y z (fractional)
Ga 0.250 0.583 0.560
Au 0.500 0.750 0.675
Sb 0.750 0.907 0.814
Au 0.500 0.250 0.825
Ga 0.250 0.083 0.940
Ga 0.750 0.917 0.560
Au 0.500 0.250 0.054
Sb 0.250 0.593 0.814
Au 0.000 0.250 0.554
Au 0.000 0.750 0.175
Au 0.000 0.750 0.946
Au 0.500 0.750 0.446
Au 0.500 0.750 0.175
Au 0.000 0.250 0.054
Au 0.500 0.750 0.946
Ga 0.750 0.417 0.440
Ga 0.250 0.583 0.060
Sb 0.750 0.407 0.186
Sb 0.750 0.407 0.686
Au 0.000 0.750 0.446
Au 0.000 0.750 0.675
Sb 0.250 0.093 0.686
Au 0.000 0.250 0.825
Ga 0.250 0.083 0.440
Ga 0.750 0.417 0.940
Au 0.000 0.250 0.325
Ga 0.750 0.917 0.060
Sb 0.250 0.593 0.314
Sb 0.750 0.907 0.314
Sb 0.250 0.093 0.186
Au 0.500 0.250 0.325
Au 0.500 0.250 0.554

=====

d | A relaxed structure of GaSbAu2, computed with PBE.

Unit cell a=3.174 b=3.174 c=7.995 alpha=90.00 beta=90.00 gamma=90.00
Element x y z (fractional)
Sb 0.500 0.500 0.500
Au 0.000 0.000 0.785
Ga 0.500 0.500 0.000
Au 0.000 0.000 0.215

=====

Going by the energies, c is most stable and the next is 2.0 kJ/mol of atoms up.

=====

a | A relaxed structure of GaSbAu2, computed with PBE.

Unit cell a=3.958 b=3.958 c=6.887 alpha=73.30 beta=73.30 gamma=60.00
Element x y z (fractional)
Ga 0.497 0.497 0.508
Au 0.242 0.242 0.275
Sb 0.668 0.668 0.995
Au 0.092 0.092 0.723

=====

b | A relaxed structure of GaSbAu2, computed with PBE.

Unit cell a=4.898 b=4.898 c=4.898 alpha=60.00 beta=60.00 gamma=60.00
Element x y z (fractional)
Au 0.750 0.750 0.750
Ga 0.000 0.000 0.000
Au 0.250 0.250 0.250
Sb 0.500 0.500 0.500

=====

Going by the energies, a is most stable and the next is 15.0 kJ/mol of atoms up.

=====

a | A relaxed structure of GaSbAu2, computed with PBE.

Unit cell a=3.971 b=3.971 c=6.736 alpha=72.86 beta=72.86 gamma=60.00
Element x y z (fractional)
Au 0.741 0.741 0.777
Sb 0.500 0.500 0.500
Ga 0.000 0.000 0.000
Au 0.259 0.259 0.223

=====

b | A relaxed structure of GaSbAu2, computed with PBE.

Unit cell a=4.658 b=4.658 c=9.035 alpha=75.06 beta=75.06 gamma=90.00
Element x y z (fractional)
Sb 0.750 0.250 0.500
Au 0.590 0.125 0.250
Au 0.375 0.410 0.750
Ga 0.250 0.750 0.500
Au 0.160 0.625 0.250
Au 0.875 0.840 0.750
Ga 0.500 0.500 0.000
Sb 0.000 0.000 0.000

=====

Going by the energies, a is most stable and the next is 2.9 kJ/mol of atoms up.

=====

a | A relaxed structure of GaSbAu4, computed with PBE.

Unit cell a=5.998 b=7.469 c=6.787 alpha=123.38 beta=81.41 gamma=90.00
Element x y z (fractional)
Sb 0.287 0.187 0.374
Sb 0.713 0.813 0.626
Au 0.000 0.195 0.000
Au 0.554 0.420 0.241
Au 0.820 0.219 0.438
Au 0.446 0.179 0.759
Au 0.554 0.821 0.241
Ga 0.188 0.554 0.109
Au 0.000 0.805 0.000
Au 0.446 0.580 0.759
Au 0.180 0.781 0.562
Ga 0.812 0.446 0.891

=====

b | A relaxed structure of GaSbAu4, computed with PBE.

Unit cell a=5.615 b=5.615 c=5.615 alpha=60.00 beta=60.00 gamma=60.00
Element x y z (fractional)
Au 0.125 0.625 0.625
Au 0.625 0.625 0.125
Sb 0.250 0.250 0.250
Ga 0.000 0.000 0.000
Au 0.625 0.625 0.625
Au 0.625 0.125 0.625

=====

Going by the energies, a is most stable and the next is 10.3 kJ/mol of atoms up.

=====

a | A relaxed structure of Ga2SbAu2, computed with PBE.

Unit cell a=7.937 b=7.937 c=3.234 alpha=90.00 beta=90.00 gamma=90.00
Element x y z (fractional)
Au 0.370 0.130 0.500
Au 0.630 0.870 0.500
Sb 0.500 0.500 0.000
Sb 0.000 0.000 0.000
Ga 0.336 0.836 0.000
Ga 0.836 0.664 0.000
Ga 0.164 0.336 0.000
Ga 0.664 0.164 0.000
Au 0.130 0.630 0.500
Au 0.870 0.370 0.500

=====

b | A relaxed structure of Ga2SbAu2, computed with PBE.

Unit cell a=7.996 b=7.996 c=3.183 alpha=90.00 beta=90.00 gamma=90.00
Element x y z (fractional)
Au 0.666 0.166 0.000
Sb 0.000 0.000 0.000
Ga 0.867 0.367 0.500
Ga 0.133 0.633 0.500
Au 0.834 0.666 0.000
Ga 0.633 0.867 0.500
Au 0.334 0.834 0.000
Ga 0.367 0.133 0.500
Au 0.166 0.334 0.000
Sb 0.500 0.500 0.000

=====

c | A relaxed structure of Ga2SbAu2, computed with PBE.

Unit cell a=4.028 b=4.028 c=6.907 alpha=73.05 beta=73.05 gamma=90.00
Element x y z (fractional)
Ga 0.250 0.750 0.500
Ga 0.750 0.250 0.500
Sb 0.000 0.000 0.000
Au 0.611 0.611 0.777
Au 0.389 0.389 0.223

=====

Going by the energies, c is most stable and the next is 0.5 kJ/mol of atoms up.

=====

a | A relaxed structure of GaSb2TeAu, computed with PBE.

Unit cell a=5.293 b=5.293 c=5.304 alpha=90.00 beta=90.00 gamma=90.00
Element x y z (fractional)
Te 0.000 0.000 0.500
Ga 0.000 0.000 0.000
Sb 0.500 0.000 0.000
Au 0.500 0.500 0.500
Sb 0.000 0.500 0.000

=====

b | A relaxed structure of GaSb2TeAu, computed with PBE.

Unit cell a=5.402 b=5.402 c=5.639 alpha=90.00 beta=90.00 gamma=90.00
Element x y z (fractional)
Sb 0.000 0.500 0.000
Sb 0.500 0.000 0.000
Au 0.000 0.000 0.000
Ga 0.500 0.500 0.500
Te 0.000 0.000 0.500

=====

Going by the energies, b is most stable and the next is 19.4 kJ/mol of atoms up.